Sr2Cd12Ag3Au (PBE, optimized geometry); energy of formation = -72 meV/atom; VASP energy = -1.53 eV/atom; DOS at the Fermi energy = 0.408 states/eV/atom
1.0
3.044 1.757 14.161
-3.044 1.757 14.161
0.000 -3.515 14.161
Sr Cd Ag Au
2 12 3 1
Cartesian
0.000 0.000 6.269 Sr
0.000 0.000 36.215 Sr
0.000 -1.830 11.912 Cd
-1.585 0.915 11.912 Cd
-1.527 -0.882 18.878 Cd
-1.585 -0.915 30.572 Cd
0.000 -1.763 23.606 Cd
-1.527 0.882 23.606 Cd
1.527 -0.882 18.878 Cd
0.000 1.763 18.878 Cd
1.585 0.915 11.912 Cd
1.527 0.882 23.606 Cd
1.585 -0.915 30.572 Cd
0.000 1.830 30.572 Cd
-1.522 -0.879 14.161 Ag
-1.522 0.879 28.323 Ag
0.000 1.757 14.161 Ag
0.000 0.000 21.242 Au

---

Sr2Cd4AgAu3 (PBE, optimized geometry); energy of formation = -395 meV/atom; VASP energy = -2.37 eV/atom; DOS at the Fermi energy = 0.573 states/eV/atom
1.0
4.590 0.000 0.000
0.000 4.590 0.000
0.000 0.000 12.104
Sr Cd Ag Au
2 4 1 3
Cartesian
0.000 2.295 3.020 Sr
2.295 0.000 9.083 Sr
0.000 0.000 0.000 Cd
0.000 2.295 7.645 Cd
2.295 0.000 4.459 Cd
2.295 2.295 0.000 Cd
0.000 0.000 6.052 Ag
0.000 2.295 10.375 Au
2.295 0.000 1.729 Au
2.295 2.295 6.052 Au

---

SrCdAg2Au (PBE, optimized geometry); energy of formation = -333 meV/atom; VASP energy = -2.65 eV/atom; DOS at the Fermi energy = 0.407 states/eV/atom
1.0
4.272 0.000 0.000
0.000 4.342 0.000
0.000 0.000 13.138
Sr Cd Ag Au
2 2 4 2
Cartesian
0.000 0.000 0.000 Sr
2.136 2.171 6.569 Sr
0.000 2.171 9.958 Cd
2.136 0.000 3.388 Cd
0.000 0.000 8.091 Ag
0.000 2.171 3.425 Ag
2.136 0.000 9.994 Ag
2.136 2.171 1.522 Ag
0.000 0.000 5.334 Au
2.136 2.171 11.903 Au

---

Sr2Cd6AgAu (PBE, optimized geometry); energy of formation = -110 meV/atom; VASP energy = -1.61 eV/atom; DOS at the Fermi energy = 0.515 states/eV/atom
1.0
0.000 5.313 5.313
5.313 0.000 5.313
5.313 5.313 0.000
Sr Cd Ag Au
2 6 1 1
Cartesian
2.657 2.657 2.657 Sr
7.970 7.970 7.970 Sr
5.313 5.313 2.649 Cd
5.313 2.649 5.313 Cd
7.978 5.313 5.313 Cd
2.649 5.313 5.313 Cd
5.313 7.978 5.313 Cd
5.313 5.313 7.978 Cd
0.000 0.000 0.000 Ag
5.313 5.313 5.313 Au

---

Tb2CdAgAu4 (PBE, optimized geometry); energy of formation = -632 meV/atom; VASP energy = -3.90 eV/atom; DOS at the Fermi energy = 0.645 states/eV/atom
1.0
2.465 1.423 8.014
-2.465 1.423 8.014
0.000 -2.846 8.014
Tb Cd Ag Au
2 1 1 4
Cartesian
0.000 0.000 5.977 Tb
0.000 0.000 18.065 Tb
0.000 0.000 0.000 Cd
0.000 0.000 12.021 Ag
0.000 0.000 2.993 Au
0.000 0.000 9.010 Au
0.000 0.000 15.032 Au
0.000 0.000 21.049 Au

---

Tb4CdAgAu2 (PBE, optimized geometry); energy of formation = -573 meV/atom; VASP energy = -4.18 eV/atom; DOS at the Fermi energy = 0.778 states/eV/atom
1.0
2.580 1.490 8.458
-2.580 1.490 8.458
0.000 -2.979 8.458
Tb Cd Ag Au
4 1 1 2
Cartesian
0.000 0.000 3.094 Tb
0.000 0.000 9.453 Tb
0.000 0.000 15.921 Tb
0.000 0.000 22.279 Tb
0.000 0.000 12.687 Cd
0.000 0.000 0.000 Ag
0.000 0.000 6.227 Au
0.000 0.000 19.147 Au

---

Q: What is the VASP energy in the sixth record?
A: -4.18 eV/atom